VASP calculation (GGA-PBE) on crystalline SrSbTe2Cl at its relaxed geometry.

As for the magnetic moment: 0.0 Bohr magnetons per cell. The value obtained for the uncorrected formation energy is -0.144 eV per atom. Its space group is P4/mmm, No. 123. The density of states at the Fermi level comes out at 3.815 states/eV per cell. The calculation puts the relative energy among the computed polymorphs at 0.0 meV/atom.

```
data_SrSbTe2Cl
_chemical_formula_sum 'Sr1 Sb1 Te2 Cl1'
_symmetry_space_group_name_H-M 'P 1'
_symmetry_Int_Tables_number 1
_symmetry_space_group_name_Hall 'P 1'
_cell_length_a 5.704
_cell_length_b 5.704
_cell_length_c 5.154
_cell_angle_alpha 90.00
_cell_angle_beta 90.00
_cell_angle_gamma 90.00
loop_
_atom_site_label
_atom_site_fract_x
_atom_site_fract_y
_atom_site_fract_z
_atom_site_occupancy
Sr1 0.000 0.000 0.000 1
Sb1 0.500 0.500 0.000 1
Te1 0.000 0.500 0.500 1
Te2 0.500 0.000 0.500 1
Cl1 0.500 0.500 0.500 1
```